This record from Alexandria describes a geometry-optimized Er2Si3Pt4Au structure. The functional is GGA-PBE.

- crystal system = tetragonal
- DFT total energy (eV/cell) = -62.2
- ΔE_f (raw) (eV/atom) = -0.932
- symmetry = P-4m2

```
Er2Si3Pt4Au
1.0
3.995 0.000 0.000
0.000 3.995 0.000
0.000 0.000 11.218
Si Er Pt Au
3 2 4 1
Direct
0.000 0.500 0.129 Si
0.500 0.000 0.871 Si
0.000 0.000 0.500 Si
0.500 0.000 0.249 Er
0.000 0.500 0.751 Er
0.000 0.500 0.333 Pt
0.500 0.000 0.667 Pt
0.500 0.500 0.000 Pt
0.000 0.000 0.000 Pt
0.500 0.500 0.500 Au
```


This record from Alexandria describes a geometry-optimized Pm5Tl2CdIr2 structure. The functional is GGA-PBE.

- energy of formation from the pure elements (eV/atom) = -0.439
- crystal system = tetragonal
- DFT total energy (eV/cell) = -103.0
- symmetry = P4/mbm

```
Pm5Tl2CdIr2
1.0
3.803 0.000 0.000
0.000 12.180 0.000
0.000 0.000 12.180
Pm Tl Ir Cd
10 4 4 2
Direct
0.500 0.707 0.423 Pm
0.500 0.423 0.293 Pm
0.500 0.793 0.923 Pm
0.500 0.077 0.793 Pm
0.500 0.923 0.207 Pm
0.500 0.293 0.577 Pm
0.500 0.207 0.077 Pm
0.500 0.500 0.000 Pm
0.500 0.000 0.500 Pm
0.500 0.577 0.707 Pm
0.000 0.674 0.174 Tl
0.000 0.826 0.674 Tl
0.000 0.174 0.326 Tl
0.000 0.326 0.826 Tl
0.000 0.870 0.370 Ir
0.000 0.630 0.870 Ir
0.000 0.370 0.130 Ir
0.000 0.130 0.630 Ir
0.000 0.500 0.500 Cd
0.000 0.000 0.000 Cd
```